No. 1
The following is a DFT calculation (PBE) of a relaxed structure of TeSeBr2.

Cell and atoms, written as POSCAR:
```
TeSeBr2
1.0
8.290 -0.561 -0.331
7.584 3.395 -0.331
7.584 1.354 3.131
Br Te Se
2 1 1
direct
0.992 0.992 0.992
0.508 0.508 0.508
0.750 0.750 0.750
0.250 0.250 0.250
```

## Properties
Space group = R-3m (166)
Spin magnetization = 0.0 μB/cell
Formation energy (no corrections) = 1.8 eV per formula unit


No. 2
The following is a DFT calculation (PBE) of a relaxed structure of MgSbCl2.

Cell and atoms, written as POSCAR:
```
MgSbCl2
1.0
-1.080 -0.272 -5.328
-0.923 -4.870 2.248
-4.304 -1.616 -0.892
Sb Mg Cl
1 1 2
direct
0.000 0.500 0.500
0.500 0.000 0.500
0.000 0.000 0.000
0.500 0.500 0.000
```

## Properties
Space group = C2/m (12)
Spin magnetization = 0.0 μB/cell
Formation energy (no corrections) = -2.3 eV per formula unit


No. 3
The following is a DFT calculation (PBE) of a relaxed structure of Cs5CO8.

Cell and atoms, written as POSCAR:
```
Cs5CO8
1.0
8.138 -1.117 1.919
-3.804 7.280 -1.919
-0.529 -4.233 7.277
C O Cs
1 8 5
direct
0.250 0.500 0.750
0.001 0.621 0.464
0.331 0.587 0.632
0.256 0.301 0.669
0.368 0.699 0.955
0.620 0.463 0.999
0.536 0.537 0.157
0.045 0.413 0.744
0.843 0.379 0.380
0.069 0.352 0.033
0.681 0.648 0.717
0.500 0.000 0.500
0.967 0.036 0.319
0.283 0.964 0.931
```

## Properties
Space group = I-4 (82)
Spin magnetization = 3.0 μB/cell
Formation energy (no corrections) = -13.8 eV per formula unit